1.
The following is a DFT calculation (PBE) of a geometry-optimized ZrTi2Sb structure.

Geometry as POSCAR:
```
ZrTi2Sb
1.0
4.886 0.000 0.000
-2.443 4.232 0.000
0.000 0.000 7.975
Zr Ti Sb
2 4 2
Direct
0.000 0.000 0.250
0.000 0.000 0.750
0.333 0.667 0.092
0.333 0.667 0.408
0.667 0.333 0.592
0.667 0.333 0.908
0.333 0.667 0.750
0.667 0.333 0.250
```

Results
Uncorrected formation energy (meV per atom): -139.0
Calculated volume (Å³/cell): 164.9
Symmetry: P6_3/mmc (194)

2.
The following is a DFT calculation (PBE) of a geometry-optimized ZrTiSb structure.

Geometry as POSCAR:
```
ZrTiSb
1.0
4.803 0.000 0.000
-2.401 4.159 0.000
0.000 0.000 3.165
Zr Ti Sb
1 1 1
Direct
0.000 0.000 0.000
0.333 0.667 0.549
0.667 0.333 0.418
```

Results
Uncorrected formation energy (meV per atom): -134.6
Calculated volume (Å³/cell): 63.2
Symmetry: P3m1 (156)

3.
The following is a DFT calculation (PBE) of a geometry-optimized ZrTiSb structure.

Geometry as POSCAR:
```
ZrTiSb
1.0
3.957 0.000 0.000
0.000 3.957 0.000
0.000 0.000 7.930
Zr Ti Sb
2 2 2
Direct
0.250 0.250 0.133
0.750 0.750 0.867
0.250 0.750 0.500
0.750 0.250 0.500
0.250 0.250 0.755
0.750 0.750 0.245
```

Results
Uncorrected formation energy (meV per atom): -631.1
Calculated volume (Å³/cell): 124.1
Symmetry: P4/nmm (129)

4.
The following is a DFT calculation (PBE) of a geometry-optimized ZrTiSb structure.

Geometry as POSCAR:
```
ZrTiSb
1.0
6.582 -1.909 0.000
6.582 1.909 0.000
-0.751 0.000 5.121
Zr Ti Sb
2 2 2
Direct
0.087 0.087 0.243
0.913 0.913 0.757
0.421 0.421 0.252
0.579 0.579 0.748
0.239 0.239 0.757
0.761 0.761 0.243
```

Results
Uncorrected formation energy (meV per atom): -226.3
Calculated volume (Å³/cell): 128.7
Symmetry: C2/m (12)

| no. | density of states at the Fermi level (states/eV per cell) | M_tot (μB/f.u.) | E_tot (eV/atom) |
| --- | --- | --- | --- |
| 1 | 8.46 | 0.41 | -7.2541 |
| 2 | 4.56 | 1.03 | -6.9898 |
| 3 | 6.10 | 0.00 | -7.4862 |
| 4 | 4.18 | 0.00 | -7.0814 |